This record from Alexandria via LeMat-Bulk describes an optimized crystal structure of DyTl2MoO6. The functional is PBE with a Hubbard U.

Lattice parameters (Å, degrees): 5.905 6.485 6.485 120.00 90.00 90.00
Atoms (fractional coordinates):
Dy 0.500 0.000 0.000
O 0.792 0.729 0.864
O 0.792 0.136 0.271
O 0.208 0.271 0.136
O 0.208 0.864 0.729
O 0.208 0.864 0.136
O 0.792 0.136 0.864
Tl 0.038 0.667 0.333
Tl 0.962 0.333 0.667
Mo 0.000 0.000 0.000

Calculated values
total moment = 0.00 μB per formula unit
calculated total energy = -61.802 eV/cell
Fermi-level density of states = 4.807 states/eV/f.u.
symmetry = P-3m1 (164)